(1)
VASP calculation (PBE) on an optimized crystal structure of GaTeF2.

Structure (extended XYZ):
```
4
Lattice="0.000 3.210 3.210 3.210 0.000 3.210 3.210 3.210 0.000" Properties=species:S:1:pos:R:3 pbc="T T T"
Te 3.210 3.210 3.210
Ga 0.000 0.000 0.000
F 1.605 1.605 1.605
F 4.815 4.815 4.815
```

Values from the calculation:
- relative energy among the computed polymorphs (eV per formula unit) = 2.31
- E_form (uncorrected) (meV/atom) = -720

---

(2)
VASP calculation (PBE) on an optimized crystal structure of TlGe2Ru.

Structure (extended XYZ):
```
4
Lattice="0.041 -4.374 1.775 -4.014 -1.971 1.514 -1.948 -3.550 -2.426" Properties=species:S:1:pos:R:3 pbc="T T T"
Ru 0.000 0.000 0.000
Tl -2.960 -4.947 0.431
Ge -1.480 -2.474 0.216
Ge -4.440 -7.421 0.647
```

Values from the calculation:
- energy of formation (kcal/mol of atoms) = 12.69
- relative energy among the computed polymorphs (eV per formula unit) = 0.97

---

(3)
VASP calculation (PBE) on an optimized crystal structure of BeAl2TcAg.

Structure (extended XYZ):
```
5
Lattice="4.689 0.000 0.000 0.000 4.243 0.000 0.000 0.000 4.689" Properties=species:S:1:pos:R:3 pbc="T T T"
Be 0.000 2.121 0.000
Tc 2.345 2.121 2.345
Ag 0.000 0.000 0.000
Al 0.000 0.000 2.345
Al 2.345 0.000 0.000
```

Values from the calculation:
- energy of formation (kcal/mol of atoms) = 25.43

---

It is found that the final energy values, taken in the order of the records, are -3.198 -4.669 -3.783 eV/atom.
It is found that the D(E_F) values, taken in the order of the records, are 1.1398 1.0005 0.7449 states/eV/atom.